A geometry-optimized Ca3LaMn2Ir2O12 structure. Source: Alexandria, functional PBE+U.

Summary:
uncorrected energy = -143.26 eV/cell

```
data_Ca3LaMn2Ir2O12
_cell_length_a 5.5054
_cell_length_b 5.7099
_cell_length_c 7.8638
_cell_angle_alpha 90.10
_cell_angle_beta 90.12
_cell_angle_gamma 90.02
_space_group_name_H-M_alt 'P 1'
_space_group_IT_number 1
loop_
_space_group_symop_operation_xyz
'x,y,z'
loop_
_atom_site_label
_atom_site_type_symbol
_atom_site_fract_x
_atom_site_fract_y
_atom_site_fract_z
Ca1 Ca 0.0000 0.0000 0.0000
Ca2 Ca 0.0326 0.1151 0.5023
Ca3 Ca 0.5019 0.6184 0.4997
La1 La 0.5279 0.5042 0.0016
Mn1 Mn 0.0172 0.5588 0.7438
Mn2 Mn 0.5158 0.0567 0.2569
Ir1 Ir 0.0164 0.5587 0.2554
Ir2 Ir 0.5168 0.0579 0.7473
O1 O 0.1049 0.5936 0.0083
O2 O 0.2032 0.8468 0.3079
O3 O 0.2258 0.8650 0.6989
O4 O 0.3144 0.3691 0.2971
O5 O 0.3337 0.3519 0.6986
O6 O 0.4153 0.0840 0.9925
O7 O 0.6219 0.0226 0.5096
O8 O 0.7090 0.7717 0.8023
O9 O 0.7240 0.7548 0.2054
O10 O 0.8064 0.2535 0.8043
O11 O 0.8263 0.2721 0.1938
O12 O 0.9130 0.5167 0.4927
```